a.
Ba2TaCo | Alexandria | GGA-PBE | optimized geometry; N(E_F) = 19.66 states/eV per cell
1.0
3.494 0.000 0.000
-1.747 3.026 0.000
0.000 0.000 31.116
Ba Ta Co
6 3 3
Direct
0.000 0.000 0.241
0.000 0.000 0.759
0.333 0.667 0.425
0.333 0.667 0.908
0.667 0.333 0.092
0.667 0.333 0.575
0.000 0.000 0.000
0.333 0.667 0.667
0.667 0.333 0.333
0.000 0.000 0.500
0.333 0.667 0.167
0.667 0.333 0.833



b.
Ba2TaCo | Alexandria | GGA-PBE | optimized geometry; N(E_F) = 30.75 states/eV per cell
1.0
7.582 0.000 0.000
0.000 7.582 0.000
0.000 0.000 7.582
Ba Ta Co
8 4 4
Direct
0.000 0.000 0.000
0.000 0.500 0.500
0.250 0.250 0.250
0.250 0.750 0.750
0.500 0.000 0.500
0.500 0.500 0.000
0.750 0.250 0.750
0.750 0.750 0.250
0.250 0.250 0.750
0.250 0.750 0.250
0.750 0.250 0.250
0.750 0.750 0.750
0.000 0.000 0.500
0.000 0.500 0.000
0.500 0.000 0.000
0.500 0.500 0.500



a is the most stable structure; the next one sits 2.6 kJ/mol of atoms above it.



a.
Ba2TaCo | Alexandria | GGA-PBE | optimized geometry; N(E_F) = 4.99 states/eV per cell
1.0
3.453 0.000 0.000
0.000 3.453 0.000
0.000 0.000 10.037
Ba Ta Co
2 1 1
Direct
0.000 0.000 0.000
0.500 0.500 0.400
0.500 0.500 0.722
0.000 0.000 0.657



b.
Ba2TaCo | Alexandria | GGA-PBE | optimized geometry; N(E_F) = 23.17 states/eV per cell
1.0
11.970 0.000 0.000
0.000 11.970 0.000
0.000 0.000 4.526
Ba Ta Co
8 4 4
Direct
0.075 0.250 0.125
0.250 0.575 0.375
0.250 0.925 0.875
0.425 0.250 0.625
0.575 0.750 0.625
0.750 0.075 0.875
0.750 0.425 0.375
0.925 0.750 0.125
0.000 0.000 0.500
0.000 0.500 0.750
0.500 0.000 0.250
0.500 0.500 0.000
0.000 0.000 0.000
0.000 0.500 0.250
0.500 0.000 0.750
0.500 0.500 0.500



a is the most stable structure; the next one sits 37.1 kJ/mol of atoms above it.



a.
Ba2TaCo | Alexandria | GGA-PBE | optimized geometry; N(E_F) = 7.10 states/eV per cell
1.0
3.440 0.000 0.000
0.000 3.440 0.000
0.000 0.000 9.498
Ba Ta Co
2 1 1
Direct
0.000 0.000 0.217
0.000 0.000 0.783
0.500 0.500 0.500
0.500 0.500 0.000



b.
Ba2TaCo | Alexandria | GGA-PBE | optimized geometry; N(E_F) = 16.11 states/eV per cell
1.0
4.153 0.000 0.000
-2.077 3.597 0.000
0.000 0.000 27.996
Ba Ta Co
6 3 3
Direct
0.000 0.000 0.000
0.000 0.000 0.181
0.333 0.667 0.667
0.333 0.667 0.847
0.667 0.333 0.333
0.667 0.333 0.514
0.000 0.000 0.756
0.333 0.667 0.422
0.667 0.333 0.089
0.000 0.000 0.431
0.333 0.667 0.097
0.667 0.333 0.764



b is the most stable structure; the next one sits 76.9 kJ/mol of atoms above it.



a.
BaTaCo | Alexandria | GGA-PBE | optimized geometry; N(E_F) = 20.36 states/eV per cell
1.0
6.641 0.000 0.000
0.000 6.641 0.000
0.000 0.000 6.641
Ba Ta Co
4 4 4
Direct
0.000 0.000 0.000
0.000 0.500 0.500
0.500 0.000 0.500
0.500 0.500 0.000
0.000 0.000 0.500
0.000 0.500 0.000
0.500 0.000 0.000
0.500 0.500 0.500
0.250 0.250 0.250
0.250 0.750 0.750
0.750 0.250 0.750
0.750 0.750 0.250



b.
BaTaCo | Alexandria | GGA-PBE | optimized geometry; N(E_F) = 6.61 states/eV per cell
1.0
3.323 0.000 0.000
0.000 3.323 0.000
0.000 0.000 12.779
Ba Ta Co
2 2 2
Direct
0.000 0.000 0.000
0.500 0.500 0.500
0.000 0.000 0.270
0.500 0.500 0.770
0.000 0.000 0.705
0.500 0.500 0.205



b is the most stable structure; the next one sits 83.9 kJ/mol of atoms above it.



a.
BaTaCo | Alexandria | GGA-PBE | optimized geometry; N(E_F) = 3.21 states/eV per cell
1.0
3.778 0.000 0.000
-1.889 3.272 0.000
0.000 0.000 6.285
Ba Ta Co
1 1 1
Direct
0.000 0.000 0.000
0.667 0.333 0.519
0.333 0.667 0.368



b.
BaTaCo | Alexandria | GGA-PBE | optimized geometry; N(E_F) = 14.65 states/eV per cell
1.0
6.538 0.000 0.000
0.000 6.538 0.000
0.000 0.000 6.538
Ba Ta Co
4 4 4
Direct
0.000 0.000 0.000
0.000 0.500 0.500
0.500 0.000 0.500
0.500 0.500 0.000
0.250 0.250 0.250
0.250 0.750 0.750
0.750 0.250 0.750
0.750 0.750 0.250
0.250 0.250 0.750
0.250 0.750 0.250
0.750 0.250 0.250
0.750 0.750 0.750



a is the most stable structure; the next one sits 150.7 kJ/mol of atoms above it.



a.
BaCoTc | Alexandria | GGA-PBE | optimized geometry; N(E_F) = 13.69 states/eV per cell
1.0
6.302 0.000 0.000
0.000 5.635 0.000
-0.312 0.000 9.530
Ba Co Tc
4 4 4
Direct
0.246 0.000 0.292
0.254 0.500 0.708
0.746 0.500 0.292
0.754 0.000 0.708
0.218 0.500 0.112
0.282 0.000 0.888
0.718 0.000 0.112
0.782 0.500 0.888
0.000 0.225 0.000
0.000 0.775 0.000
0.500 0.275 0.000
0.500 0.725 0.000



b.
BaCoTc | Alexandria | GGA-PBE | optimized geometry; N(E_F) = 15.51 states/eV per cell
1.0
4.643 0.000 0.000
0.000 4.679 0.000
0.000 0.000 11.867
Ba Co Tc
4 4 4
Direct
0.000 0.000 0.000
0.000 0.500 0.500
0.500 0.000 0.500
0.500 0.500 0.000
0.000 0.000 0.716
0.000 0.500 0.216
0.500 0.000 0.216
0.500 0.500 0.716
0.000 0.000 0.276
0.000 0.500 0.776
0.500 0.000 0.776
0.500 0.500 0.276



a is the most stable structure; the next one sits 39.8 kJ/mol of atoms above it.



a.
BaCoTc | Alexandria | GGA-PBE | optimized geometry; N(E_F) = 11.44 states/eV per cell
1.0
11.127 0.000 0.000
0.000 4.054 0.000
-4.813 0.000 6.538
Ba Co Tc
4 4 4
Direct
0.000 0.000 0.000
0.127 0.000 0.688
0.500 0.500 0.000
0.627 0.500 0.688
0.322 0.500 0.240
0.430 0.000 0.273
0.822 0.000 0.240
0.930 0.500 0.273
0.189 0.500 0.404
0.328 0.000 0.475
0.689 0.000 0.404
0.828 0.500 0.475



b.
BaCoTc | Alexandria | GGA-PBE | optimized geometry; N(E_F) = 15.68 states/eV per cell
1.0
4.321 0.000 0.000
0.000 12.306 0.000
0.000 0.000 5.015
Ba Co Tc
4 4 4
Direct
0.000 0.205 0.250
0.000 0.795 0.750
0.500 0.295 0.750
0.500 0.705 0.250
0.000 0.038 0.750
0.000 0.962 0.250
0.500 0.462 0.250
0.500 0.538 0.750
0.000 0.500 0.000
0.000 0.500 0.500
0.500 0.000 0.000
0.500 0.000 0.500



c.
BaCoTc | Alexandria | GGA-PBE | optimized geometry; N(E_F) = 16.69 states/eV per cell
1.0
7.284 0.000 0.000
0.000 4.206 0.000
-2.441 0.000 10.702
Ba Co Tc
4 4 4
Direct
0.000 0.000 0.000
0.202 0.000 0.603
0.500 0.500 0.000
0.702 0.500 0.603
0.230 0.500 0.189
0.306 0.500 0.414
0.730 0.000 0.189
0.806 0.000 0.414
0.101 0.000 0.302
0.435 0.000 0.302
0.601 0.500 0.302
0.935 0.500 0.302



d.
BaCoTc | Alexandria | GGA-PBE | optimized geometry; N(E_F) = 9.16 states/eV per cell
1.0
5.401 0.000 0.000
-2.700 4.677 0.000
0.000 0.000 8.606
Ba Co Tc
2 2 2
Direct
0.333 0.667 0.250
0.667 0.333 0.750
0.000 0.000 0.000
0.000 0.000 0.500
0.000 0.000 0.250
0.000 0.000 0.750



c is the most stable structure; the next one sits 6.2 kJ/mol of atoms above it.



a.
Ba2CoTc | Alexandria | GGA-PBE | optimized geometry; N(E_F) = 19.33 states/eV per cell
1.0
11.764 0.000 0.000
0.000 11.764 0.000
0.000 0.000 4.431
Ba Co Tc
8 4 4
Direct
0.069 0.750 0.125
0.250 0.069 0.875
0.250 0.431 0.375
0.431 0.750 0.625
0.569 0.250 0.625
0.750 0.569 0.375
0.750 0.931 0.875
0.931 0.250 0.125
0.000 0.000 0.000
0.000 0.500 0.250
0.500 0.000 0.750
0.500 0.500 0.500
0.000 0.000 0.500
0.000 0.500 0.750
0.500 0.000 0.250
0.500 0.500 0.000



b.
Ba2CoTc | Alexandria | GGA-PBE | optimized geometry; N(E_F) = 22.27 states/eV per cell
1.0
7.513 0.000 0.000
0.000 7.513 0.000
0.000 0.000 7.513
Ba Co Tc
8 4 4
Direct
0.000 0.000 0.000
0.000 0.500 0.500
0.250 0.250 0.250
0.250 0.750 0.750
0.500 0.000 0.500
0.500 0.500 0.000
0.750 0.250 0.750
0.750 0.750 0.250
0.250 0.250 0.750
0.250 0.750 0.250
0.750 0.250 0.250
0.750 0.750 0.750
0.000 0.000 0.500
0.000 0.500 0.000
0.500 0.000 0.000
0.500 0.500 0.500



c.
Ba2CoTc | Alexandria | GGA-PBE | optimized geometry; N(E_F) = 8.82 states/eV per cell
1.0
5.609 0.000 0.000
0.000 5.609 0.000
0.000 0.000 3.681
Ba Co Tc
2 1 1
Direct
0.000 0.500 0.000
0.500 0.000 0.000
0.000 0.000 0.500
0.500 0.500 0.500



a is the most stable structure; the next one sits 33.0 kJ/mol of atoms above it.



a.
Ba2CoTc | Alexandria | GGA-PBE | optimized geometry; N(E_F) = 11.77 states/eV per cell
1.0
4.497 0.000 0.000
0.000 5.301 0.000
0.000 0.000 9.652
Ba Co Tc
4 2 2
Direct
0.000 0.000 0.000
0.000 0.500 0.434
0.500 0.000 0.434
0.500 0.500 0.000
0.000 0.500 0.759
0.500 0.000 0.759
0.000 0.000 0.686
0.500 0.500 0.686



b.
Ba2CoTc | Alexandria | GGA-PBE | optimized geometry; N(E_F) = 13.50 states/eV per cell
1.0
3.755 0.000 0.000
-1.877 3.252 0.000
0.000 0.000 28.134
Ba Co Tc
6 3 3
Direct
0.000 0.000 0.246
0.000 0.000 0.754
0.333 0.667 0.421
0.333 0.667 0.913
0.667 0.333 0.087
0.667 0.333 0.579
0.000 0.000 0.500
0.333 0.667 0.167
0.667 0.333 0.833
0.000 0.000 0.000
0.333 0.667 0.667
0.667 0.333 0.333



a is the most stable structure; the next one sits 61.2 kJ/mol of atoms above it.



a.
Ba2CoTc | Alexandria | GGA-PBE | optimized geometry; N(E_F) = 4.86 states/eV per cell
1.0
3.514 0.000 0.000
0.000 3.514 0.000
0.000 0.000 9.483
Ba Co Tc
2 1 1
Direct
0.000 0.000 0.000
0.500 0.500 0.430
0.000 0.000 0.684
0.500 0.500 0.741



b.
Ba2CoTc | Alexandria | GGA-PBE | optimized geometry; N(E_F) = 8.53 states/eV per cell
1.0
7.157 0.000 0.000
0.000 4.134 0.000
-2.318 0.000 8.958
Ba Co Tc
4 2 2
Direct
0.000 0.000 0.000
0.170 0.000 0.524
0.500 0.500 0.000
0.670 0.500 0.524
0.418 0.000 0.260
0.918 0.500 0.260
0.252 0.500 0.263
0.752 0.000 0.263



b is the most stable structure; the next one sits 25.1 kJ/mol of atoms above it.



a.
Ba2Co2Tc | Alexandria | GGA-PBE | optimized geometry; N(E_F) = 11.13 states/eV per cell
1.0
3.401 0.000 0.000
0.000 3.401 0.000
0.000 0.000 20.651
Ba Co Tc
4 4 2
Direct
0.000 0.000 0.112
0.000 0.000 0.888
0.500 0.500 0.388
0.500 0.500 0.612
0.000 0.500 0.250
0.000 0.500 0.750
0.500 0.000 0.250
0.500 0.000 0.750
0.000 0.000 0.500
0.500 0.500 0.000



b.
Ba2Co2Tc | Alexandria | GGA-PBE | optimized geometry; N(E_F) = 30.63 states/eV per cell
1.0
8.496 0.000 0.000
0.000 8.496 0.000
0.000 0.000 3.227
Ba Co Tc
4 4 2
Direct
0.141 0.359 0.000
0.359 0.859 0.000
0.641 0.141 0.000
0.859 0.641 0.000
0.172 0.672 0.500
0.328 0.172 0.500
0.672 0.828 0.500
0.828 0.328 0.500
0.000 0.000 0.000
0.500 0.500 0.000



a is the most stable structure; the next one sits 64.7 kJ/mol of atoms above it.



a.
BaCo2Tc2 | Alexandria | GGA-PBE | optimized geometry; N(E_F) = 13.13 states/eV per cell
1.0
4.169 0.000 0.000
0.000 4.169 0.000
0.000 0.000 11.512
Ba Co Tc
2 4 4
Direct
0.000 0.000 0.000
0.500 0.500 0.500
0.000 0.000 0.351
0.000 0.000 0.649
0.500 0.500 0.149
0.500 0.500 0.851
0.000 0.500 0.250
0.000 0.500 0.750
0.500 0.000 0.250
0.500 0.000 0.750



b.
BaCo2Tc2 | Alexandria | GGA-PBE | optimized geometry; N(E_F) = 10.83 states/eV per cell
1.0
7.778 0.000 0.000
0.000 7.778 0.000
0.000 0.000 2.780
Ba Co Tc
2 4 4
Direct
0.000 0.000 0.000
0.500 0.500 0.000
0.113 0.387 0.000
0.387 0.887 0.000
0.613 0.113 0.000
0.887 0.613 0.000
0.158 0.658 0.500
0.342 0.158 0.500
0.658 0.842 0.500
0.842 0.342 0.500



a is the most stable structure; the next one sits 26.0 kJ/mol of atoms above it.